Here is an optimized crystal structure of NaTbHgO3 from the Open Quantum Materials Database. Energies are from PBE.

Cell and atoms, written as POSCAR:
```
NaTbHgO3
1.0
1.801 -6.075 0.000
1.801 6.075 0.000
0.000 0.000 8.815
Na Tb Hg O
2 2 2 6
direct
0.154 0.846 0.750
0.846 0.154 0.250
0.500 0.500 0.000
0.500 0.500 0.500
0.136 0.864 0.250
0.864 0.136 0.750
0.122 0.878 0.020
0.122 0.878 0.480
0.466 0.534 0.250
0.534 0.466 0.750
0.878 0.122 0.520
0.878 0.122 0.980
```

Computed properties:
Magnetization (μB/f.u.): 0.0
Raw total energy (eV per atom): -5.358



Here is an optimized crystal structure of NaReHgOs from the Open Quantum Materials Database. Energies are from PBE.

Cell and atoms, written as POSCAR:
```
NaReHgOs
1.0
0.000 3.202 3.202
3.202 0.000 3.202
3.202 3.202 0.000
Na Re Hg Os
1 1 1 1
direct
0.000 0.000 0.000
0.250 0.250 0.250
0.750 0.750 0.750
0.500 0.500 0.500
```

Computed properties:
Energy above the most stable polymorph in this dataset (eV/f.u.): 0.00
Magnetization (μB/f.u.): 0.0
Raw total energy (eV per atom): -5.461



Here is an optimized crystal structure of NaReHgOs from the Open Quantum Materials Database. Energies are from PBE.

Cell and atoms, written as POSCAR:
```
NaReHgOs
1.0
0.000 3.210 3.210
3.210 0.000 3.210
3.210 3.210 0.000
Na Re Hg Os
1 1 1 1
direct
0.000 0.000 0.000
0.500 0.500 0.500
0.250 0.250 0.250
0.750 0.750 0.750
```

Computed properties:
Energy above the most stable polymorph in this dataset (eV/f.u.): 0.14
Magnetization (μB/f.u.): 0.0
Raw total energy (eV per atom): -5.427



Here is an optimized crystal structure of NaHg3OsSe4 from the Open Quantum Materials Database. Energies are from PBE.

Cell and atoms, written as POSCAR:
```
NaHg3OsSe4
1.0
6.622 0.000 0.000
0.000 6.622 0.000
0.000 0.000 6.622
Na Hg Os Se
1 3 1 4
direct
0.000 0.000 0.000
0.000 0.500 0.500
0.500 0.000 0.500
0.500 0.500 0.000
0.500 0.500 0.500
0.275 0.275 0.275
0.275 0.725 0.725
0.725 0.275 0.725
0.725 0.725 0.275
```

Computed properties:
Magnetization (μB/f.u.): 3.8
Raw total energy (eV per atom): -2.842



Here is an optimized crystal structure of NaPaHg from the Open Quantum Materials Database. Energies are from PBE.

Cell and atoms, written as POSCAR:
```
NaPaHg
1.0
0.000 3.579 3.579
3.579 0.000 3.579
3.579 3.579 0.000
Na Pa Hg
1 1 1
direct
0.000 0.000 0.000
0.500 0.500 0.500
0.250 0.250 0.250
```

Computed properties:
Energy above the most stable polymorph in this dataset (eV/f.u.): 0.00
Magnetization (μB/f.u.): 0.9
Raw total energy (eV per atom): -3.042



Here is an optimized crystal structure of NaHgPb from the Open Quantum Materials Database. Energies are from PBE.

Cell and atoms, written as POSCAR:
```
NaHgPb
1.0
0.000 3.548 3.548
3.548 0.000 3.548
3.548 3.548 0.000
Na Hg Pb
1 1 1
direct
0.000 0.000 0.000
0.250 0.250 0.250
0.500 0.500 0.500
```

Computed properties:
Energy above the most stable polymorph in this dataset (eV/f.u.): 0.00
Raw total energy (eV per atom): -1.893



Here is an optimized crystal structure of NaHgPb from the Open Quantum Materials Database. Energies are from PBE.

Cell and atoms, written as POSCAR:
```
NaHgPb
1.0
0.000 3.537 3.537
3.537 0.000 3.537
3.537 3.537 0.000
Na Hg Pb
1 1 1
direct
0.000 0.000 0.000
0.750 0.750 0.750
0.250 0.250 0.250
```

Computed properties:
Energy above the most stable polymorph in this dataset (eV/f.u.): 0.71
Raw total energy (eV per atom): -1.655



Here is an optimized crystal structure of NaHg3PbS4 from the Open Quantum Materials Database. Energies are from PBE.

Cell and atoms, written as POSCAR:
```
NaHg3PbS4
1.0
6.480 0.000 0.000
0.000 6.480 0.000
0.000 0.000 6.480
Na Hg Pb S
1 3 1 4
direct
0.000 0.000 0.000
0.000 0.500 0.500
0.500 0.000 0.500
0.500 0.500 0.000
0.500 0.500 0.500
0.251 0.251 0.251
0.251 0.749 0.749
0.749 0.251 0.749
0.749 0.749 0.251
```

Computed properties:
Raw total energy (eV per atom): -2.628



Here is an optimized crystal structure of NaHgPd2 from the Open Quantum Materials Database. Energies are from PBE.

Cell and atoms, written as POSCAR:
```
NaHgPd2
1.0
3.134 0.000 0.000
0.000 3.134 0.000
0.000 0.000 7.576
Na Hg Pd
1 1 2
direct
0.000 0.000 0.000
0.000 0.000 0.500
0.500 0.500 0.267
0.500 0.500 0.733
```

Computed properties:
Raw total energy (eV per atom): -3.103



Here is an optimized crystal structure of NaHgPd2 from the Open Quantum Materials Database. Energies are from PBE.

Cell and atoms, written as POSCAR:
```
NaHgPd2
1.0
4.744 0.000 0.000
0.000 6.070 0.000
0.000 0.000 4.950
Na Hg Pd
2 2 4
direct
0.250 0.250 0.187
0.750 0.750 0.813
0.250 0.750 0.195
0.750 0.250 0.805
0.250 0.002 0.681
0.250 0.498 0.681
0.750 0.502 0.319
0.750 0.998 0.319
```

Computed properties:
Raw total energy (eV per atom): -3.172



Here is an optimized crystal structure of NaHgPd2 from the Open Quantum Materials Database. Energies are from PBE.

Cell and atoms, written as POSCAR:
```
NaHgPd2
1.0
4.224 0.000 0.000
0.000 4.224 0.000
0.000 0.000 3.952
Na Hg Pd
1 1 2
direct
0.000 0.000 0.000
0.500 0.500 0.000
0.000 0.500 0.500
0.500 0.000 0.500
```

Computed properties:
Raw total energy (eV per atom): -3.185



Here is an optimized crystal structure of Na2HgPd2 from the Open Quantum Materials Database. Energies are from PBE.

Cell and atoms, written as POSCAR:
```
Na2HgPd2
1.0
6.944 0.000 0.000
0.000 6.944 0.000
0.000 0.000 4.421
Na Hg Pd
4 2 4
direct
0.167 0.333 0.000
0.333 0.833 0.000
0.667 0.167 0.000
0.833 0.667 0.000
0.000 0.000 0.500
0.500 0.500 0.500
0.135 0.635 0.500
0.365 0.135 0.500
0.635 0.865 0.500
0.865 0.365 0.500
```

Computed properties:
Raw total energy (eV per atom): -2.839



Please write out number 8 again, unchanged.
Here is an optimized crystal structure of NaHg3PbS4 from the Open Quantum Materials Database. Energies are from PBE.

Cell and atoms, written as POSCAR:
```
NaHg3PbS4
1.0
6.480 0.000 0.000
0.000 6.480 0.000
0.000 0.000 6.480
Na Hg Pb S
1 3 1 4
direct
0.000 0.000 0.000
0.000 0.500 0.500
0.500 0.000 0.500
0.500 0.500 0.000
0.500 0.500 0.500
0.251 0.251 0.251
0.251 0.749 0.749
0.749 0.251 0.749
0.749 0.749 0.251
```

Computed properties:
Raw total energy (eV per atom): -2.628



What did the sixth record say?
Here is an optimized crystal structure of NaHgPb from the Open Quantum Materials Database. Energies are from PBE.

Cell and atoms, written as POSCAR:
```
NaHgPb
1.0
0.000 3.548 3.548
3.548 0.000 3.548
3.548 3.548 0.000
Na Hg Pb
1 1 1
direct
0.000 0.000 0.000
0.250 0.250 0.250
0.500 0.500 0.500
```

Computed properties:
Energy above the most stable polymorph in this dataset (eV/f.u.): 0.00
Raw total energy (eV per atom): -1.893